DFT (PBE-GGA) results for a relaxed structure of CsSn2Pd2.

The energy above the lowest structure with this stoichiometry comes out at 233 meV/atom. The energy of formation from the pure elements comes out at -134 meV/atom. The space group is P4/mbm (127).

Cell: 9.0312 9.0312 3.2587 Å, 90.00 90.00 90.00°
Last column: nearest neighbours and their distance in Å.
Fractional coordinates of all 10 atoms:
Cs  0.0000  0.0000  0.0000  2 Cs 3.26, 4 Sn 3.57
Cs  0.5000  0.5000  0.0000  2 Cs 3.26, 4 Sn 3.57
Sn  0.1250  0.3750  0.0000  4 Pd 2.82
Sn  0.6250  0.1250  0.0000  4 Pd 2.82
Sn  0.3750  0.8750  0.0000  4 Pd 2.82
Sn  0.8750  0.6250  0.0000  4 Pd 2.82
Pd  0.1300  0.6300  0.5000  4 Sn 2.82
Pd  0.3700  0.1300  0.5000  4 Sn 2.82
Pd  0.8700  0.3700  0.5000  4 Sn 2.82
Pd  0.6300  0.8700  0.5000  4 Sn 2.82

***

DFT (PBE-GGA) results for a relaxed structure of ScOsPb2O6.

As for the uncorrected formation energy: -1.58 eV per atom. The space group is R-3m (166).

Cell: 5.8260 5.8260 10.1395 Å, 73.30 73.30 60.00°
Last column: nearest neighbours and their distance in Å.
Fractional coordinates of all 20 atoms:
Pb  0.1411  0.1411  0.5767  3 O 2.55
Pb  0.8589  0.8589  0.4233  3 O 2.55
Pb  0.7275  0.7275  0.8174  3 O 2.55
Pb  0.2725  0.2725  0.1826  3 O 2.55
O  0.7240  0.1960  0.8840  1 Os 1.94, 1 Sc 2.01
O  0.3772  0.8659  0.3796  1 Os 2.01
O  0.1960  0.1960  0.8840  1 Os 1.94, 1 Sc 2.01
O  0.1960  0.7240  0.8840  1 Os 1.94, 1 Sc 2.01
O  0.8040  0.2760  0.1160  1 Os 1.94, 1 Sc 2.01
O  0.8659  0.3772  0.3796  1 Os 2.01
O  0.1341  0.6228  0.6204  1 Os 2.01
O  0.8040  0.8040  0.1160  1 Os 1.94, 1 Sc 2.01
O  0.2760  0.8040  0.1160  1 Os 1.94, 1 Sc 2.01
O  0.3772  0.3772  0.3796  1 Os 2.01
O  0.6228  0.6228  0.6204  1 Os 2.01
O  0.6228  0.1341  0.6204  1 Os 2.01
Os  0.0000  0.0000  0.0000  6 O 1.94
Os  0.5000  0.5000  0.5000  6 O 2.01
Sc  0.4045  0.4045  0.7865  3 O 2.01
Sc  0.5955  0.5955  0.2135  3 O 2.01

***

Total magnetic moment (computed, μB per cell): 0.0; 4.1